Record 1
Here is an optimized crystal structure of GdSb2Au from OQMD. Energies are from PBE.

The space group is P4/nmm (129). For the total energy, the calculation gives -18.857 eV/f.u.

```
data_GdSb2Au
_symmetry_space_group_name_H-M 'P 1'
_symmetry_Int_Tables_number 1
_cell_length_a 4.397
_cell_length_b 4.397
_cell_length_c 10.126
_cell_angle_alpha 90.00
_cell_angle_beta 90.00
_cell_angle_gamma 90.00
loop_
_symmetry_equiv_pos_as_xyz
'x,y,z'
loop_
_atom_site_label
_atom_site_type_symbol
_atom_site_fract_x
_atom_site_fract_y
_atom_site_fract_z
Gd1 Gd 0.250 0.250 0.246
Gd2 Gd 0.750 0.750 0.754
Sb1 Sb 0.250 0.250 0.688
Sb2 Sb 0.250 0.750 0.000
Sb3 Sb 0.750 0.250 0.000
Sb4 Sb 0.750 0.750 0.312
Au1 Au 0.250 0.750 0.500
Au2 Au 0.750 0.250 0.500
```

=====

Record 2
Here is an optimized crystal structure of Gd3Sb4Au3 from OQMD. Energies are from PBE.

The space group is I-43d (220). For the total energy, the calculation gives -48.717 eV/f.u.

```
data_Gd3Sb4Au3
_symmetry_space_group_name_H-M 'P 1'
_symmetry_Int_Tables_number 1
_cell_length_a 8.614
_cell_length_b 8.614
_cell_length_c 8.614
_cell_angle_alpha 109.47
_cell_angle_beta 109.47
_cell_angle_gamma 109.47
loop_
_symmetry_equiv_pos_as_xyz
'x,y,z'
loop_
_atom_site_label
_atom_site_type_symbol
_atom_site_fract_x
_atom_site_fract_y
_atom_site_fract_z
Gd1 Gd 0.125 0.875 0.250
Gd2 Gd 0.250 0.125 0.875
Gd3 Gd 0.375 0.625 0.750
Gd4 Gd 0.625 0.750 0.375
Gd5 Gd 0.750 0.375 0.625
Gd6 Gd 0.875 0.250 0.125
Sb1 Sb 0.000 0.178 0.500
Sb2 Sb 0.000 0.678 0.500
Sb3 Sb 0.178 0.500 0.000
Sb4 Sb 0.322 0.322 0.322
Sb5 Sb 0.500 0.000 0.178
Sb6 Sb 0.500 0.000 0.678
Sb7 Sb 0.678 0.500 0.000
Sb8 Sb 0.822 0.822 0.822
Au1 Au 0.125 0.750 0.875
Au2 Au 0.250 0.625 0.375
Au3 Au 0.375 0.250 0.625
Au4 Au 0.625 0.375 0.250
Au5 Au 0.750 0.875 0.125
Au6 Au 0.875 0.125 0.750
```

=====

Record 3
Here is an optimized crystal structure of Gd5SbAu2 from OQMD. Energies are from PBE.

The space group is I4/mcm (140). For the total energy, the calculation gives -39.921 eV/f.u.

```
data_Gd5SbAu2
_symmetry_space_group_name_H-M 'P 1'
_symmetry_Int_Tables_number 1
_cell_length_a 8.733
_cell_length_b 8.733
_cell_length_c 8.733
_cell_angle_alpha 124.62
_cell_angle_beta 124.62
_cell_angle_gamma 82.18
loop_
_symmetry_equiv_pos_as_xyz
'x,y,z'
loop_
_atom_site_label
_atom_site_type_symbol
_atom_site_fract_x
_atom_site_fract_y
_atom_site_fract_z
Gd1 Gd 0.000 0.000 0.000
Gd2 Gd 0.012 0.512 0.811
Gd3 Gd 0.200 0.012 0.500
Gd4 Gd 0.300 0.800 0.811
Gd5 Gd 0.488 0.300 0.500
Gd6 Gd 0.500 0.500 0.000
Gd7 Gd 0.512 0.700 0.500
Gd8 Gd 0.700 0.200 0.189
Gd9 Gd 0.800 0.988 0.500
Gd10 Gd 0.988 0.488 0.189
Sb1 Sb 0.250 0.250 0.000
Sb2 Sb 0.750 0.750 0.000
Au1 Au 0.137 0.363 0.500
Au2 Au 0.363 0.863 0.226
Au3 Au 0.637 0.137 0.774
Au4 Au 0.863 0.637 0.500
```

=====

Record 4
Here is an optimized crystal structure of GdScAu from OQMD. Energies are from PBE.

The polymorph energy (0 for the lowest one) is 0.0000 eV/atom. Its formation energy is 0.053 eV per atom. The space group is F-43m (216). For the total energy, the calculation gives -14.089 eV/f.u.

```
data_GdScAu
_symmetry_space_group_name_H-M 'P 1'
_symmetry_Int_Tables_number 1
_cell_length_a 4.698
_cell_length_b 4.698
_cell_length_c 4.698
_cell_angle_alpha 60.00
_cell_angle_beta 60.00
_cell_angle_gamma 60.00
loop_
_symmetry_equiv_pos_as_xyz
'x,y,z'
loop_
_atom_site_label
_atom_site_type_symbol
_atom_site_fract_x
_atom_site_fract_y
_atom_site_fract_z
Gd1 Gd 0.000 0.000 0.000
Sc1 Sc 0.750 0.750 0.750
Au1 Au 0.500 0.500 0.500
```

=====

Record 5
Here is an optimized crystal structure of GdScAu from OQMD. Energies are from PBE.

The polymorph energy (0 for the lowest one) is 0.1353 eV/atom. Its formation energy is 0.189 eV per atom. The space group is F-43m (216). For the total energy, the calculation gives -13.684 eV/f.u.

```
data_GdScAu
_symmetry_space_group_name_H-M 'P 1'
_symmetry_Int_Tables_number 1
_cell_length_a 4.746
_cell_length_b 4.746
_cell_length_c 4.746
_cell_angle_alpha 60.00
_cell_angle_beta 60.00
_cell_angle_gamma 60.00
loop_
_symmetry_equiv_pos_as_xyz
'x,y,z'
loop_
_atom_site_label
_atom_site_type_symbol
_atom_site_fract_x
_atom_site_fract_y
_atom_site_fract_z
Gd1 Gd 0.000 0.000 0.000
Sc1 Sc 0.250 0.250 0.250
Au1 Au 0.750 0.750 0.750
```

=====

Record 6
Here is an optimized crystal structure of GdAu2Se2 from OQMD. Energies are from PBE.

The space group is I4/mmm (139). For the total energy, the calculation gives -20.751 eV/f.u.

```
data_GdAu2Se2
_symmetry_space_group_name_H-M 'P 1'
_symmetry_Int_Tables_number 1
_cell_length_a 14.249
_cell_length_b 14.249
_cell_length_c 14.249
_cell_angle_alpha 163.13
_cell_angle_beta 163.13
_cell_angle_gamma 23.95
loop_
_symmetry_equiv_pos_as_xyz
'x,y,z'
loop_
_atom_site_label
_atom_site_type_symbol
_atom_site_fract_x
_atom_site_fract_y
_atom_site_fract_z
Gd1 Gd 0.080 0.080 0.000
Gd2 Gd 0.920 0.920 0.000
Au1 Au 0.000 0.500 0.500
Au2 Au 0.313 0.313 0.000
Au3 Au 0.500 0.000 0.500
Au4 Au 0.687 0.687 0.000
Se1 Se 0.250 0.750 0.500
Se2 Se 0.401 0.401 0.000
Se3 Se 0.599 0.599 0.000
Se4 Se 0.750 0.250 0.500
```